No. 1
Entry from Alexandria: crystalline Cd2InW at its relaxed geometry (PBE).

**DFT formation energy**: 0.58 eV per atom
**Theoretical density**: 10.717 g/cm³
**SG**: Pmmm (47)
**Total moment**: 0.5 μB/cell

Cell: 2.9236 5.1284 5.4098 Å, 90.00 90.00 90.00°
Fractional coordinates of all 4 atoms:
Cd 0.0000 0.0000 0.0000
Cd 0.5000 0.5000 0.0000
In 0.0000 0.5000 0.5000
W 0.5000 0.0000 0.5000

---

No. 2
Entry from Alexandria: crystalline PdPbAu at its relaxed geometry (PBE).

**Energy above the lowest structure with this stoichiometry**: 0 meV per atom
**DFT formation energy**: -0.16 eV per atom
**Theoretical density**: 13.660 g/cm³
**SG**: P2_1 (4)
**Total moment**: 0.0 μB/cell

Cell: 4.4970 5.6685 5.3524 Å, 90.00 114.52 90.00°
Fractional coordinates of all 6 atoms:
Pd 0.1028 0.0000 0.2075
Pd 0.8972 0.5000 0.7925
Pb 0.2019 0.5001 0.3981
Pb 0.7981 0.0001 0.6019
Au 0.4994 0.7508 0.9988
Au 0.5006 0.2508 0.0012

---

No. 3
Entry from Alexandria: crystalline Li2CeO3 at its relaxed geometry (PBE).

**E_form (uncorrected)**: -2.65 eV per atom
**Theoretical density**: 4.353 g/cm³
**SG**: C2/m (12)
**Total moment**: 0.0 μB/cell

Cell: 5.3167 5.3167 3.5508 Å, 90.18 90.18 50.16°
Fractional coordinates of all 6 atoms:
Li 0.1547 0.1547 0.0007
Li 0.8453 0.8453 0.9993
Ce 0.5000 0.5000 0.5000
O 0.0000 0.0000 0.5000
O 0.3562 0.3562 0.9986
O 0.6438 0.6438 0.0014